# 1
{
  "formula": "CaBeFe2",
  "functional": "PBE",
  "state": "relaxed",
  "magmom_total_mub_per_cell": 10.21,
  "cell": [[4.232, 0.000, 0.000], [0.000, 4.232, 0.000], [0.000, 0.000, 15.972]],
  "species": ["Ca", "Ca", "Ca", "Ca", "Be", "Be", "Be", "Be", "Fe", "Fe", "Fe", "Fe", "Fe", "Fe", "Fe", "Fe"],
  "fractional_positions": [[0.000, 0.250, 0.375], [0.000, 0.750, 0.625], [0.500, 0.250, 0.125], [0.500, 0.750, 0.875], [0.000, 0.250, 0.875], [0.000, 0.750, 0.125], [0.500, 0.250, 0.625], [0.500, 0.750, 0.375], [0.000, 0.000, 0.000], [0.000, 0.500, 0.000], [0.250, 0.250, 0.750], [0.250, 0.750, 0.250], [0.500, 0.000, 0.500], [0.500, 0.500, 0.500], [0.750, 0.250, 0.750], [0.750, 0.750, 0.250]]
}

---

# 2
{
  "formula": "Pm2Nd6Ho5",
  "functional": "PBE",
  "state": "relaxed",
  "magmom_total_mub_per_cell": 0.00,
  "cell": [[11.821, 0.000, 0.000], [0.000, 20.563, 0.000], [0.000, 0.000, 3.648]],
  "species": ["Pm", "Pm", "Pm", "Pm", "Nd", "Nd", "Nd", "Nd", "Nd", "Nd", "Nd", "Nd", "Nd", "Nd", "Nd", "Nd", "Ho", "Ho", "Ho", "Ho", "Ho", "Ho", "Ho", "Ho", "Ho", "Ho"],
  "fractional_positions": [[0.167, 0.214, 0.000], [0.333, 0.714, 0.000], [0.667, 0.286, 0.000], [0.833, 0.786, 0.000], [0.059, 0.922, 0.000], [0.081, 0.634, 0.000], [0.176, 0.371, 0.500], [0.324, 0.871, 0.500], [0.419, 0.134, 0.000], [0.441, 0.422, 0.000], [0.559, 0.578, 0.000], [0.581, 0.866, 0.000], [0.676, 0.129, 0.500], [0.824, 0.629, 0.500], [0.919, 0.366, 0.000], [0.941, 0.078, 0.000], [0.000, 0.500, 0.500], [0.093, 0.777, 0.500], [0.199, 0.056, 0.500], [0.301, 0.556, 0.500], [0.407, 0.277, 0.500], [0.500, 0.000, 0.500], [0.593, 0.723, 0.500], [0.699, 0.444, 0.500], [0.801, 0.944, 0.500], [0.907, 0.223, 0.500]]
}

---

# 3
{
  "formula": "LaAsIr2",
  "functional": "PBE",
  "state": "relaxed",
  "magmom_total_mub_per_cell": 0.00,
  "cell": [[4.176, 0.000, 0.000], [0.000, 4.176, 0.000], [0.000, 0.000, 4.826]],
  "species": ["La", "As", "Ir", "Ir"],
  "fractional_positions": [[0.000, 0.000, 0.000], [0.500, 0.500, 0.300], [0.000, 0.500, 0.555], [0.500, 0.000, 0.555]]
}

---

The energy relative to the elements results, record by record, are as follows: 610.1; 100.7; -605.5 meV per atom.
The E results, record by record, are as follows: -5.05; -4.59; -7.43 eV/atom.